CaTa3Cu, optimized geometry, DFT PBE; energy of formation from the pure elements = 2.7402 eV per atom; density = 10333 kg/m³; crystal system = cubic; symmetry = Pm-3m, No. 221
1.0
4.701 0.000 0.000
0.000 4.701 0.000
0.000 0.000 4.701
Cu Ta Ca
1 3 1
Direct
0.500 0.500 0.500
0.000 0.000 0.500
0.000 0.500 0.000
0.500 0.000 0.000
0.000 0.000 0.000